DFT (PBE-GGA) results for a geometry-optimized NdTc2O8 structure.

Properties
- mass density (g cm⁻³) = 3.4
- relative energy among the computed polymorphs (meV per atom) = 0.0
- density of states at the Fermi level (states/eV/atom) = 0.325
- formation energy (no corrections) (meV/atom) = -1882
- spin magnetization (μB/f.u.) = 0.0

Cell lengths 6.8815, 6.8815, 6.8815 Å; angles 60.00, 60.00, 60.00 degrees
Closest atoms and distances in Å follow each position.
Fractional positions:
Nd 0.0000 0.0000 0.0000  8 O 2.46
Tc 0.2500 0.2500 0.2500  4 O 1.76
Tc 0.7500 0.7500 0.7500  4 O 1.76
O 0.1458 0.1458 0.1458  1 Tc 1.76
O 0.1458 0.1458 0.5626  1 Tc 1.76
O 0.1458 0.5626 0.1458  1 Tc 1.76
O 0.4374 0.8542 0.8542  1 Tc 1.76
O 0.5626 0.1458 0.1458  1 Tc 1.76
O 0.8542 0.4374 0.8542  1 Tc 1.76
O 0.8542 0.8542 0.4374  1 Tc 1.76
O 0.8542 0.8542 0.8542  1 Tc 1.76


DFT (PBE-GGA) results for a geometry-optimized DyMgPd structure.

Properties
- raw total energy (Ry/atom) = -0.3299
- mass density (g cm⁻³) = 7.5
- density of states at the Fermi level (states/eV/atom) = 0.703
- spin magnetization (μB/f.u.) = 0.0

Cell lengths 7.4763, 7.4763, 4.0430 Å; angles 90.00, 90.00, 120.00 degrees
Closest atoms and distances in Å follow each position.
Fractional positions:
Dy 0.0000 0.4122 0.0000  5 Pd 3.03-3.08, 6 Mg 3.27-3.36
Dy 0.4122 0.0000 0.0000  5 Pd 3.03-3.08, 6 Mg 3.27-3.36
Dy 0.5878 0.5878 0.0000  5 Pd 3.03-3.08, 6 Mg 3.27-3.36
Mg 0.0000 0.7552 0.5000  4 Pd 2.73-2.88
Mg 0.2448 0.2448 0.5000  4 Pd 2.73-2.88
Mg 0.7552 0.0000 0.5000  4 Pd 2.73-2.88
Pd 0.0000 0.0000 0.0000  6 Mg 2.73
Pd 0.3333 0.6667 0.5000  3 Mg 2.88, 6 Dy 3.03
Pd 0.6667 0.3333 0.5000  3 Mg 2.88, 6 Dy 3.03


DFT (PBE-GGA) results for a geometry-optimized Mg5Cd2In2Hg structure.

Properties
- raw total energy (Ry/atom) = -0.1183
- mass density (g cm⁻³) = 5.4
- density of states at the Fermi level (states/eV/atom) = 0.334
- spin magnetization (μB/f.u.) = 0.0

Cell lengths 12.0645, 12.0645, 3.2695 Å; angles 90.00, 90.00, 90.00 degrees
Closest atoms and distances in Å follow each position.
Fractional positions:
Mg 0.0000 0.5000 0.0000  4 Cd 3.06, 2 Mg 3.27, 4 In 3.32
Mg 0.0055 0.2018 0.0000  2 Hg 2.93, 2 Cd 2.98, 2 In 3.09, 2 Mg 3.27
Mg 0.2018 0.9945 0.0000  2 Hg 2.93, 2 Cd 2.98, 2 In 3.09, 2 Mg 3.27
Mg 0.2982 0.4945 0.0000  2 Hg 2.93, 2 Cd 2.98, 2 In 3.09, 2 Mg 3.27
Mg 0.4945 0.7018 0.0000  2 Hg 2.93, 2 Cd 2.98, 2 In 3.09, 2 Mg 3.27
Mg 0.5000 0.0000 0.0000  4 Cd 3.06, 2 Mg 3.27, 4 In 3.32
Mg 0.5055 0.2982 0.0000  2 Hg 2.93, 2 Cd 2.98, 2 In 3.09, 2 Mg 3.27
Mg 0.7018 0.5055 0.0000  2 Hg 2.93, 2 Cd 2.98, 2 In 3.09, 2 Mg 3.27
Mg 0.7982 0.0055 0.0000  2 Hg 2.93, 2 Cd 2.98, 2 In 3.09, 2 Mg 3.27
Mg 0.9945 0.7982 0.0000  2 Hg 2.93, 2 Cd 2.98, 2 In 3.09, 2 Mg 3.27
Cd 0.1514 0.3486 0.5000  6 Mg 2.98-3.06, 1 In 3.05, 2 Cd 3.27
Cd 0.3486 0.8486 0.5000  6 Mg 2.98-3.06, 1 In 3.05, 2 Cd 3.27
Cd 0.6514 0.1514 0.5000  6 Mg 2.98-3.06, 1 In 3.05, 2 Cd 3.27
Cd 0.8486 0.6514 0.5000  6 Mg 2.98-3.06, 1 In 3.05, 2 Cd 3.27
In 0.1697 0.6697 0.5000  1 Cd 3.05, 6 Mg 3.09-3.32, 2 In 3.27
In 0.3303 0.1697 0.5000  1 Cd 3.05, 6 Mg 3.09-3.32, 2 In 3.27
In 0.6697 0.8303 0.5000  1 Cd 3.05, 6 Mg 3.09-3.32, 2 In 3.27
In 0.8303 0.3303 0.5000  1 Cd 3.05, 6 Mg 3.09-3.32, 2 In 3.27
Hg 0.0000 0.0000 0.5000  8 Mg 2.93, 2 Hg 3.27
Hg 0.5000 0.5000 0.5000  8 Mg 2.93, 2 Hg 3.27


DFT (PBE-GGA) results for a geometry-optimized Sm3GaTeBr structure.

Properties
- mass density (g cm⁻³) = 7.0
- density of states at the Fermi level (states/eV/atom) = 0.745
- formation energy (no corrections) (meV/atom) = -1009
- spin magnetization (μB/f.u.) = 0.0

Cell lengths 8.0697, 4.1032, 11.0523 Å; angles 90.00, 109.96, 90.00 degrees
Closest atoms and distances in Å follow each position.
Fractional positions:
Sm 0.0310 0.2500 0.2784  1 Br 2.98, 3 Ga 3.00-3.05, 2 Te 3.19
Sm 0.2230 0.2500 0.0340  3 Br 3.09-3.23, 2 Te 3.28
Sm 0.3542 0.7500 0.5816  3 Ga 2.99-3.30, 3 Te 3.20-3.28, 1 Br 3.27
Sm 0.6458 0.2500 0.4184  3 Ga 2.99-3.30, 3 Te 3.20-3.28, 1 Br 3.27
Sm 0.7770 0.7500 0.9660  3 Br 3.09-3.23, 2 Te 3.28
Sm 0.9690 0.7500 0.7216  1 Br 2.98, 3 Ga 3.00-3.05, 2 Te 3.19
Ga 0.0768 0.2500 0.5642  2 Ga 2.56
Ga 0.9232 0.7500 0.4358  2 Ga 2.56
Te 0.3348 0.7500 0.2806  7 Sm 3.19-3.28
Te 0.6652 0.2500 0.7194  7 Sm 3.19-3.28
Br 0.3521 0.7500 0.8769  5 Sm 2.98-3.27
Br 0.6479 0.2500 0.1231  5 Sm 2.98-3.27


DFT (PBE-GGA) results for a geometry-optimized Ba2PdPt2 structure.

Properties
- mass density (g cm⁻³) = 9.6
- relative energy among the computed polymorphs (meV per atom) = 193.5
- density of states at the Fermi level (states/eV/atom) = 0.296
- spin magnetization (μB/f.u.) = 0.0

Cell lengths 7.5934, 7.5934, 4.6168 Å; angles 90.00, 90.00, 90.00 degrees
Closest atoms and distances in Å follow each position.
Fractional positions:
Ba 0.1787 0.3213 0.0000  6 Pt 3.11-3.30
Ba 0.3213 0.8213 0.0000  6 Pt 3.11-3.30
Ba 0.6787 0.1787 0.0000  6 Pt 3.11-3.30
Ba 0.8213 0.6787 0.0000  6 Pt 3.11-3.30
Pd 0.0000 0.0000 0.5000  4 Pt 2.99
Pd 0.5000 0.5000 0.5000  4 Pt 2.99
Pt 0.1277 0.6277 0.5000  1 Pt 2.74, 2 Pd 2.99
Pt 0.3723 0.1277 0.5000  1 Pt 2.74, 2 Pd 2.99
Pt 0.6277 0.8723 0.5000  1 Pt 2.74, 2 Pd 2.99
Pt 0.8723 0.3723 0.5000  1 Pt 2.74, 2 Pd 2.99


DFT (PBE-GGA) results for a geometry-optimized Nb2IrCl structure.

Properties
- mass density (g cm⁻³) = 9.4
- relative energy among the computed polymorphs (meV per atom) = 109.7
- density of states at the Fermi level (states/eV/atom) = 0.585
- formation energy (no corrections) (meV/atom) = 214
- spin magnetization (μB/f.u.) = 0.0

Cell lengths 5.7572, 5.7572, 5.7572 Å; angles 108.32, 108.32, 111.79 degrees
Closest atoms and distances in Å follow each position.
Fractional positions:
Nb 0.1115 0.1250 0.4865  2 Cl 2.46, 2 Ir 2.58
Nb 0.3750 0.8885 0.0135  2 Cl 2.46, 2 Ir 2.58
Nb 0.6385 0.6250 0.5135  2 Cl 2.46, 2 Ir 2.58
Nb 0.8750 0.3615 0.9865  2 Cl 2.46, 2 Ir 2.58
Ir 0.2500 0.7500 0.5000  4 Nb 2.58
Ir 0.5000 0.5000 0.0000  4 Nb 2.58
Cl 0.0000 0.0000 0.0000  4 Nb 2.46
Cl 0.7500 0.2500 0.5000  4 Nb 2.46


Repeat the third record exactly.
DFT (PBE-GGA) results for a geometry-optimized Mg5Cd2In2Hg structure.

Properties
- raw total energy (Ry/atom) = -0.1183
- mass density (g cm⁻³) = 5.4
- density of states at the Fermi level (states/eV/atom) = 0.334
- spin magnetization (μB/f.u.) = 0.0

Cell lengths 12.0645, 12.0645, 3.2695 Å; angles 90.00, 90.00, 90.00 degrees
Closest atoms and distances in Å follow each position.
Fractional positions:
Mg 0.0000 0.5000 0.0000  4 Cd 3.06, 2 Mg 3.27, 4 In 3.32
Mg 0.0055 0.2018 0.0000  2 Hg 2.93, 2 Cd 2.98, 2 In 3.09, 2 Mg 3.27
Mg 0.2018 0.9945 0.0000  2 Hg 2.93, 2 Cd 2.98, 2 In 3.09, 2 Mg 3.27
Mg 0.2982 0.4945 0.0000  2 Hg 2.93, 2 Cd 2.98, 2 In 3.09, 2 Mg 3.27
Mg 0.4945 0.7018 0.0000  2 Hg 2.93, 2 Cd 2.98, 2 In 3.09, 2 Mg 3.27
Mg 0.5000 0.0000 0.0000  4 Cd 3.06, 2 Mg 3.27, 4 In 3.32
Mg 0.5055 0.2982 0.0000  2 Hg 2.93, 2 Cd 2.98, 2 In 3.09, 2 Mg 3.27
Mg 0.7018 0.5055 0.0000  2 Hg 2.93, 2 Cd 2.98, 2 In 3.09, 2 Mg 3.27
Mg 0.7982 0.0055 0.0000  2 Hg 2.93, 2 Cd 2.98, 2 In 3.09, 2 Mg 3.27
Mg 0.9945 0.7982 0.0000  2 Hg 2.93, 2 Cd 2.98, 2 In 3.09, 2 Mg 3.27
Cd 0.1514 0.3486 0.5000  6 Mg 2.98-3.06, 1 In 3.05, 2 Cd 3.27
Cd 0.3486 0.8486 0.5000  6 Mg 2.98-3.06, 1 In 3.05, 2 Cd 3.27
Cd 0.6514 0.1514 0.5000  6 Mg 2.98-3.06, 1 In 3.05, 2 Cd 3.27
Cd 0.8486 0.6514 0.5000  6 Mg 2.98-3.06, 1 In 3.05, 2 Cd 3.27
In 0.1697 0.6697 0.5000  1 Cd 3.05, 6 Mg 3.09-3.32, 2 In 3.27
In 0.3303 0.1697 0.5000  1 Cd 3.05, 6 Mg 3.09-3.32, 2 In 3.27
In 0.6697 0.8303 0.5000  1 Cd 3.05, 6 Mg 3.09-3.32, 2 In 3.27
In 0.8303 0.3303 0.5000  1 Cd 3.05, 6 Mg 3.09-3.32, 2 In 3.27
Hg 0.0000 0.0000 0.5000  8 Mg 2.93, 2 Hg 3.27
Hg 0.5000 0.5000 0.5000  8 Mg 2.93, 2 Hg 3.27


Question: What is the formula in the fourth record?
Answer: Sm3GaTeBr